Entry 1:
This record from Alexandria describes a PBEsol-optimized structure of KZrMn2. The functional is meta-GGA SCAN.

Computed properties:
total magnetization: 7.55 μB/f.u.
relative energy among the computed polymorphs: 309.9 meV per atom

Cell: 4.809 4.809 4.809 Å, 60.00 60.00 60.00°
Fractional positions:
Mn  0.000  0.000  0.000
Mn  0.750  0.750  0.750
Zr  0.250  0.250  0.250
K  0.500  0.500  0.500



Entry 2:
This record from Alexandria describes a PBEsol-optimized structure of KZr2Mn. The functional is meta-GGA SCAN.

Computed properties:
total magnetization: 3.79 μB/f.u.
relative energy among the computed polymorphs: 0.0 meV per atom

Cell: 3.219 3.219 9.741 Å, 90.00 90.00 90.00°
Fractional positions:
Zr  0.500  0.500  0.183
Zr  0.000  0.000  0.973
K  0.000  0.000  0.531
Mn  0.500  0.500  0.813



Entry 3:
This record from Alexandria describes a PBEsol-optimized structure of KZrMn3. The functional is meta-GGA SCAN.

Computed properties:
total magnetization: 11.10 μB/f.u.
E_tot: -17.14 eV per atom

Cell: 4.617 4.617 4.617 Å, 90.00 90.00 90.00°
Fractional positions:
Mn  0.000  0.500  0.000
Mn  0.000  0.000  0.500
Mn  0.500  0.000  0.000
K  0.000  0.000  0.000
Zr  0.500  0.500  0.500



Entry 4:
This record from Alexandria describes a PBEsol-optimized structure of KZr2Mn. The functional is meta-GGA SCAN.

Computed properties:
total magnetization: 1.23 μB/f.u.
relative energy among the computed polymorphs: 546.3 meV per atom

Cell: 5.052 5.052 5.052 Å, 60.00 60.00 60.00°
Fractional positions:
Mn  0.250  0.250  0.250
K  0.500  0.500  0.500
Zr  0.750  0.750  0.750
Zr  0.000  0.000  0.000



Entry 5:
This record from Alexandria describes a PBEsol-optimized structure of KZrMn2. The functional is meta-GGA SCAN.

Computed properties:
total magnetization: 7.38 μB/f.u.
relative energy among the computed polymorphs: 0.0 meV per atom

Cell: 3.011 5.261 5.261 Å, 89.83 90.00 90.00°
Fractional positions:
Mn  0.000  0.500  0.000
Mn  0.000  0.000  0.500
Zr  0.500  0.000  0.000
K  0.500  0.500  0.500



Entry 6:
This record from Alexandria describes a PBEsol-optimized structure of KMo. The functional is meta-GGA SCAN.

Computed properties:
total magnetization: 0.00 μB/f.u.
relative energy among the computed polymorphs: 1165.3 meV per atom

Cell: 4.888 4.888 4.888 Å, 60.00 60.00 60.00°
Fractional positions:
K  0.500  0.500  0.500
K  0.750  0.750  0.750
Mo  0.250  0.250  0.250
Mo  0.000  0.000  0.000



Entry 7:
This record from Alexandria describes a PBEsol-optimized structure of KMo. The functional is meta-GGA SCAN.

Computed properties:
total magnetization: 0.33 μB/f.u.
relative energy among the computed polymorphs: 0.0 meV per atom

Cell: 4.119 4.539 13.955 Å, 93.54 90.00 116.99°
Fractional positions:
K  0.317  0.634  0.495
K  0.644  0.288  0.778
K  0.959  0.918  0.060
Mo  0.638  0.276  0.278
Mo  0.296  0.593  0.247
Mo  0.979  0.959  0.309



Entry 8:
This record from Alexandria describes a PBEsol-optimized structure of KMo. The functional is meta-GGA SCAN.

Computed properties:
total magnetization: 0.20 μB/f.u.
relative energy among the computed polymorphs: 118.3 meV per atom

Cell: 3.287 3.287 10.843 Å, 90.00 90.00 90.00°
Fractional positions:
K  0.500  0.000  0.802
K  0.000  0.500  0.198
Mo  0.000  0.500  0.548
Mo  0.500  0.000  0.452



Entry 9:
This record from Alexandria describes a PBEsol-optimized structure of KMo3N. The functional is meta-GGA SCAN.

Computed properties:
total magnetization: 0.00 μB/f.u.
formation energy without anion corrections: 1048 meV per atom

Cell: 4.228 4.228 4.228 Å, 90.00 90.00 90.00°
Fractional positions:
N  0.000  0.000  0.000
Mo  0.000  0.000  0.500
Mo  0.000  0.500  0.000
Mo  0.500  0.000  0.000
K  0.500  0.500  0.500



Entry 10:
This record from Alexandria describes a PBEsol-optimized structure of KMoN2. The functional is meta-GGA SCAN.

Computed properties:
total magnetization: 0.00 μB/f.u.
formation energy without anion corrections: -553 meV per atom

Cell: 5.711 5.941 5.711 Å, 61.28 90.00 118.72°
Fractional positions:
K  0.500  0.000  0.500
K  0.250  0.500  0.250
N  0.778  0.750  0.375
N  0.972  0.750  0.875
N  0.375  0.250  0.972
N  0.875  0.250  0.778
Mo  0.000  0.000  0.000
Mo  0.750  0.500  0.750



Entry 11:
This record from Alexandria describes a PBEsol-optimized structure of KTe2MoN. The functional is meta-GGA SCAN.

Computed properties:
total magnetization: 0.00 μB/f.u.
formation energy without anion corrections: -125 meV per atom

Cell: 3.806 5.569 5.569 Å, 90.00 90.00 90.00°
Fractional positions:
Mo  0.000  0.000  0.000
K  0.500  0.500  0.500
N  0.500  0.000  0.000
Te  0.000  0.000  0.500
Te  0.000  0.500  0.000



Entry 12:
This record from Alexandria describes a PBEsol-optimized structure of KNa3Mo. The functional is meta-GGA SCAN.

Computed properties:
total magnetization: 5.19 μB/f.u.
E_tot: -9.85 eV per atom

Cell: 5.839 5.839 5.839 Å, 90.00 90.00 90.00°
Fractional positions:
Na  0.500  0.000  0.000
Na  0.000  0.500  0.000
Na  0.000  0.000  0.500
K  0.000  0.000  0.000
Mo  0.500  0.500  0.500



total magnetization of number 7 (KMo)?
0.33 μB/f.u.



What is the total magnetization in the fifth record?
7.38 μB/f.u.